First-principles (PBE) data for a geometry-optimized ReRh2Cl structure, as listed in Alexandria via LeMat-Bulk.

a b c (Å): 5.4695 7.8877 2.7749
angles (deg): 90.00 90.25 90.00
With the nearest neighbours (Å) after each atom.
Space group C2/m (No. 12)
Unique sites:
Re 0.0000 0.0000 0.0000 [2 per cell]  2 Cl 2.73, 8 Rh 2.77, 2 Re 2.77
Rh 0.2500 0.2500 0.5000 [4 per cell]  4 Rh 2.73-2.77, 4 Cl 2.77, 4 Re 2.77
Cl 0.0000 0.5000 0.0000 [2 per cell]  2 Re 2.73, 8 Rh 2.77, 2 Cl 2.77

Computed properties:
uncorrected formation energy: 0.748 eV/atom
theoretical density: 11.86 g cm⁻³
total magnetization: 0.0 μB per cell
offset from the most stable computed form: 0.607 eV per atom
E_tot: -6.502 eV/atom